Here is a relaxed Li4MgIn4 crystal from Alexandria. Energies are from PBE-GGA.

abc: 4.4321 6.9435 6.9435
angles: 84.15 71.39 71.39
Positions (direct):
In1 0.6699 0.0000 0.6603
In2 0.3302 0.3397 0.0000
In3 0.6698 0.6603 0.0000
In4 0.3301 0.0000 0.3397
Li1 0.3229 0.6771 0.6771
Li2 0.0000 0.3229 0.6771
Li3 0.6771 0.3229 0.3229
Li4 0.0000 0.6771 0.3229
Mg1 0.0000 0.0000 0.0000

## Properties
Energy relative to the elements = -0.179 eV/atom
Calculated volume = 21.32 Å³ per atom
Relative energy among the computed polymorphs = 0.0 kJ/mol of atoms